1.
Computed, not measured: Zr2TlClO after structural relaxation at the PBE level of DFT.

```
data_Zr2TlClO
_chemical_formula_sum 'Zr2 Tl1 Cl1 O1'
_symmetry_space_group_name_H-M 'P 4/m m m'
_symmetry_Int_Tables_number 123
_symmetry_space_group_name_Hall '-P 4 2'
_cell_length_a 4.3427
_cell_length_b 4.3427
_cell_length_c 5.6464
_cell_angle_alpha 90.00
_cell_angle_beta 90.00
_cell_angle_gamma 90.00
loop_
_atom_site_label
_atom_site_type_symbol
_atom_site_fract_x
_atom_site_fract_y
_atom_site_fract_z
_atom_site_occupancy
Zr1 Zr 0.0000 0.5000 0.0000 1
Tl1 Tl 0.0000 0.0000 0.5000 1
Cl1 Cl 0.5000 0.5000 0.5000 1
O1 O 0.5000 0.5000 0.0000 1
```

DFT total energy, eV for the cell shown: -30.4
V, Å³/atom: 21.3

2.
Computed, not measured: ZrTlCl2O after structural relaxation at the PBE level of DFT.

```
data_ZrTlCl2O
_chemical_formula_sum 'Zr1 Tl1 Cl2 O1'
_symmetry_space_group_name_H-M 'P 4/m m m'
_symmetry_Int_Tables_number 123
_symmetry_space_group_name_Hall '-P 4 2'
_cell_length_a 4.8354
_cell_length_b 4.8354
_cell_length_c 6.2002
_cell_angle_alpha 90.00
_cell_angle_beta 90.00
_cell_angle_gamma 90.00
loop_
_atom_site_label
_atom_site_type_symbol
_atom_site_fract_x
_atom_site_fract_y
_atom_site_fract_z
_atom_site_occupancy
Zr1 Zr 0.0000 0.0000 0.0000 1
Tl1 Tl 0.0000 0.0000 0.5000 1
Cl1 Cl 0.0000 0.5000 0.0000 1
O1 O 0.5000 0.5000 0.5000 1
```

DFT total energy, eV for the cell shown: -20.9
V, Å³/atom: 29.0

3.
Computed, not measured: Tm2ClO3 after structural relaxation at the PBE level of DFT.

```
data_Tm2ClO3
_chemical_formula_sum 'Tm8 Cl4 O12'
_symmetry_space_group_name_H-M 'C 1 2/m 1'
_symmetry_Int_Tables_number 12
_cell_length_a 13.1120
_cell_length_b 3.6817
_cell_length_c 9.2961
_cell_angle_alpha 90.00
_cell_angle_beta 101.85
_cell_angle_gamma 90.00
loop_
_symmetry_equiv_pos_as_xyz
'x,y,z'
'-x,-y,-z'
'-x,y,-z'
'x,-y,z'
'x+1/2,y+1/2,z'
'-x+1/2,-y+1/2,-z'
'-x+1/2,y+1/2,-z'
'x+1/2,-y+1/2,z'
loop_
_atom_site_label
_atom_site_type_symbol
_atom_site_fract_x
_atom_site_fract_y
_atom_site_fract_z
_atom_site_occupancy
Tm1 Tm 0.0682 0.0000 0.2783 1
Tm2 Tm 0.1270 0.5000 0.6232 1
Cl1 Cl 0.1386 0.5000 0.1073 1
O1 O 0.0526 0.5000 0.3931 1
O2 O 0.0947 0.0000 0.7225 1
O3 O 0.2274 0.0000 0.4764 1
```

DFT total energy, eV for the cell shown: -170.9
V, Å³/atom: 18.3

In meV/atom, the energy relative to the elements, uncorrected values for the records above are, in order, -820 -270 -2843.